The following is a PBE calculation of Be2AlRu after structural relaxation, from the Alexandria database.

a = 5.100 Å, b = 5.100 Å, c = 5.100 Å
α = 103.35°, β = 103.35°, γ = 122.57°
Fractional coordinates of all 8 atoms:
Be 0.110 0.125 0.485
Be 0.375 0.890 0.015
Be 0.640 0.625 0.515
Be 0.875 0.360 0.985
Al 0.250 0.750 0.500
Al 0.500 0.500 0.000
Ru 0.000 0.000 0.000
Ru 0.750 0.250 0.500

Summary:
- Total magnetization: 0.33 μB per formula unit
- Space group: I-42d
- E_form: 0.211 eV per atom

The following is a PBE calculation of BeAlRu after structural relaxation, from the Alexandria database.

a = 6.253 Å, b = 6.253 Å, c = 3.930 Å
α = 90.00°, β = 90.00°, γ = 151.65°
Fractional coordinates of all 6 atoms:
Be 0.249 0.751 0.750
Be 0.751 0.249 0.250
Al 0.420 0.580 0.250
Al 0.580 0.420 0.750
Ru 0.101 0.899 0.250
Ru 0.899 0.101 0.750

Summary:
- Total magnetization: 0.00 μB per formula unit
- Energy above the lowest structure with this stoichiometry: 0.000 eV/atom
- Space group: Cmcm
- E_form: -0.467 eV per atom

The following is a PBE calculation of BeAlRu3 after structural relaxation, from the Alexandria database.

a = 4.102 Å, b = 4.102 Å, c = 4.102 Å
α = 90.00°, β = 90.00°, γ = 90.00°
Fractional coordinates of all 5 atoms:
Be 0.000 0.000 0.000
Al 0.500 0.500 0.500
Ru 0.000 0.000 0.500
Ru 0.000 0.500 0.000
Ru 0.500 0.000 0.000

Summary:
- Total magnetization: 0.78 μB per formula unit
- Energy above the lowest structure with this stoichiometry: 0.000 eV/atom
- Space group: Pm-3m
- E_form: 0.290 eV per atom

The following is a PBE calculation of BeAlRu2 after structural relaxation, from the Alexandria database.

a = 4.718 Å, b = 4.718 Å, c = 2.721 Å
α = 103.40°, β = 103.40°, γ = 110.63°
Fractional coordinates of all 4 atoms:
Be 0.000 0.000 0.000
Al 0.500 0.500 0.000
Ru 0.000 0.500 0.500
Ru 0.500 0.000 0.500

Summary:
- Total magnetization: 0.00 μB per formula unit
- Space group: C2/m
- E_form: -0.144 eV per atom

The following is a PBE calculation of Be2AlRu after structural relaxation, from the Alexandria database.

a = 3.453 Å, b = 4.686 Å, c = 4.686 Å
α = 35.78°, β = 90.00°, γ = 90.00°
Fractional coordinates of all 4 atoms:
Be 0.000 0.000 0.000
Be 0.500 0.128 0.128
Al 0.500 0.389 0.389
Ru 0.000 0.720 0.720

Summary:
- Total magnetization: 0.00 μB per formula unit
- Space group: Amm2
- E_form: -0.240 eV per atom

The following is a PBE calculation of BeAlRu after structural relaxation, from the Alexandria database.

a = 3.964 Å, b = 3.964 Å, c = 3.964 Å
α = 60.00°, β = 60.00°, γ = 60.00°
Fractional coordinates of all 3 atoms:
Be 0.000 0.000 0.000
Al 0.500 0.500 0.500
Ru 0.250 0.250 0.250

Summary:
- Total magnetization: 0.00 μB per formula unit
- Energy above the lowest structure with this stoichiometry: 0.535 eV/atom
- Space group: F-43m
- E_form: 0.068 eV per atom

The following is a PBE calculation of Be6AlRu after structural relaxation, from the Alexandria database.

a = 4.336 Å, b = 4.336 Å, c = 4.336 Å
α = 90.00°, β = 90.00°, γ = 90.00°
Fractional coordinates of all 8 atoms:
Be 0.000 0.260 0.500
Be 0.000 0.740 0.500
Be 0.260 0.500 0.000
Be 0.500 0.000 0.260
Be 0.500 0.000 0.740
Be 0.740 0.500 0.000
Al 0.000 0.000 0.000
Ru 0.500 0.500 0.500

Summary:
- Total magnetization: 0.00 μB per formula unit
- Space group: Pm-3
- E_form: 0.131 eV per atom

The following is a PBE calculation of BeAlRu after structural relaxation, from the Alexandria database.

a = 4.547 Å, b = 4.547 Å, c = 4.547 Å
α = 141.33°, β = 141.33°, γ = 55.83°
Fractional coordinates of all 3 atoms:
Be 0.000 0.000 0.000
Al 0.689 0.689 0.000
Ru 0.367 0.367 0.000

Summary:
- Total magnetization: 0.00 μB per formula unit
- Energy above the lowest structure with this stoichiometry: 0.004 eV/atom
- Space group: I4mm
- E_form: -0.463 eV per atom

The following is a PBE calculation of BeAlRu3 after structural relaxation, from the Alexandria database.

a = 4.391 Å, b = 4.391 Å, c = 4.391 Å
α = 90.00°, β = 90.00°, γ = 90.00°
Fractional coordinates of all 5 atoms:
Be 0.000 0.000 0.000
Al 0.500 0.500 0.500
Ru 0.000 0.500 0.500
Ru 0.500 0.000 0.500
Ru 0.500 0.500 0.000

Summary:
- Total magnetization: 1.75 μB per formula unit
- Energy above the lowest structure with this stoichiometry: 1.061 eV/atom
- Space group: Pm-3m
- E_form: 1.351 eV per atom

The following is a PBE calculation of BeAlRu2 after structural relaxation, from the Alexandria database.

a = 4.127 Å, b = 4.127 Å, c = 4.901 Å
α = 101.43°, β = 101.43°, γ = 39.40°
Fractional coordinates of all 4 atoms:
Be 0.000 0.000 0.000
Al 0.500 0.500 0.500
Ru 0.257 0.257 0.776
Ru 0.743 0.743 0.224

Summary:
- Total magnetization: 0.00 μB per formula unit
- Space group: C2/m
- E_form: -0.227 eV per atom

The following is a PBE calculation of Be2AlRu after structural relaxation, from the Alexandria database.

a = 2.999 Å, b = 2.999 Å, c = 5.084 Å
α = 90.00°, β = 90.00°, γ = 90.00°
Fractional coordinates of all 4 atoms:
Be 0.000 0.000 0.214
Be 0.000 0.000 0.786
Al 0.500 0.500 0.500
Ru 0.500 0.500 0.000

Summary:
- Total magnetization: 0.00 μB per formula unit
- Space group: P4/mmm
- E_form: -0.287 eV per atom

The following is a PBE calculation of BeAlRu2 after structural relaxation, from the Alexandria database.

a = 4.799 Å, b = 4.799 Å, c = 4.052 Å
α = 109.95°, β = 109.95°, γ = 35.43°
Fractional coordinates of all 4 atoms:
Be 0.000 0.000 0.000
Al 0.756 0.756 0.296
Ru 0.265 0.265 0.811
Ru 0.513 0.513 0.513

Summary:
- Total magnetization: 0.00 μB per formula unit
- Space group: Cm
- E_form: -0.288 eV per atom

The following is a PBE calculation of BeAl2Ru2 after structural relaxation, from the Alexandria database.

a = 6.379 Å, b = 6.379 Å, c = 3.383 Å
α = 90.00°, β = 90.00°, γ = 90.00°
Fractional coordinates of all 10 atoms:
Be 0.000 0.000 0.000
Be 0.500 0.500 0.000
Al 0.148 0.352 0.500
Al 0.352 0.852 0.500
Al 0.648 0.148 0.500
Al 0.852 0.648 0.500
Ru 0.157 0.657 0.000
Ru 0.343 0.157 0.000
Ru 0.657 0.843 0.000
Ru 0.843 0.343 0.000

Summary:
- Total magnetization: 0.00 μB per formula unit
- Energy above the lowest structure with this stoichiometry: 0.000 eV/atom
- Space group: P4/mbm
- E_form: -0.402 eV per atom

The following is a PBE calculation of BeAlRu2 after structural relaxation, from the Alexandria database.

a = 7.567 Å, b = 7.567 Å, c = 7.567 Å
α = 21.51°, β = 21.51°, γ = 21.51°
Fractional coordinates of all 4 atoms:
Be 0.000 0.000 0.000
Al 0.500 0.500 0.500
Ru 0.257 0.257 0.257
Ru 0.743 0.743 0.743

Summary:
- Total magnetization: 0.00 μB per formula unit
- Space group: R-3m
- E_form: -0.208 eV per atom

The following is a PBE calculation of Be2AlRu after structural relaxation, from the Alexandria database.

a = 3.009 Å, b = 3.009 Å, c = 5.111 Å
α = 90.00°, β = 90.00°, γ = 90.00°
Fractional coordinates of all 4 atoms:
Be 0.000 0.000 0.000
Be 0.500 0.500 0.226
Al 0.500 0.500 0.716
Ru 0.000 0.000 0.452

Summary:
- Total magnetization: 0.00 μB per formula unit
- Space group: P4mm
- E_form: -0.226 eV per atom

The following is a PBE calculation of Be2AlRu after structural relaxation, from the Alexandria database.

a = 2.649 Å, b = 2.649 Å, c = 7.689 Å
α = 90.00°, β = 90.00°, γ = 113.99°
Fractional coordinates of all 4 atoms:
Be 0.000 0.000 0.230
Be 0.000 0.000 0.770
Al 0.500 0.500 0.500
Ru 0.500 0.500 0.000

Summary:
- Total magnetization: 0.00 μB per formula unit
- Space group: Cmmm
- E_form: 0.157 eV per atom

The following is a PBE calculation of Be2AlRu after structural relaxation, from the Alexandria database.

a = 4.562 Å, b = 4.562 Å, c = 4.562 Å
α = 140.73°, β = 131.72°, γ = 63.92°
Fractional coordinates of all 4 atoms:
Be 0.000 0.000 0.000
Be 0.774 0.274 0.500
Al 0.510 0.510 0.000
Ru 0.245 0.745 0.500

Summary:
- Total magnetization: 0.00 μB per formula unit
- Space group: Imm2
- E_form: -0.408 eV per atom

The following is a PBE calculation of BeAl4Ru after structural relaxation, from the Alexandria database.

a = 4.982 Å, b = 4.982 Å, c = 4.982 Å
α = 60.00°, β = 60.00°, γ = 60.00°
Fractional coordinates of all 6 atoms:
Be 0.000 0.000 0.000
Al 0.376 0.376 0.376
Al 0.376 0.376 0.873
Al 0.376 0.873 0.376
Al 0.873 0.376 0.376
Ru 0.750 0.750 0.750

Summary:
- Total magnetization: 0.00 μB per formula unit
- Space group: F-43m
- E_form: 0.179 eV per atom

The following is a PBE calculation of Be2AlSnRu after structural relaxation, from the Alexandria database.

a = 4.276 Å, b = 4.276 Å, c = 4.596 Å
α = 90.00°, β = 90.00°, γ = 90.00°
Fractional coordinates of all 5 atoms:
Be 0.000 0.500 0.000
Be 0.500 0.000 0.000
Al 0.000 0.000 0.000
Sn 0.500 0.500 0.500
Ru 0.000 0.000 0.500

Summary:
- Total magnetization: 0.00 μB per formula unit
- Space group: P4/mmm
- E_form: 0.874 eV per atom

The following is a PBE calculation of SrBe2AlRu after structural relaxation, from the Alexandria database.

a = 4.803 Å, b = 4.803 Å, c = 5.440 Å
α = 90.00°, β = 90.00°, γ = 90.00°
Fractional coordinates of all 5 atoms:
Sr 0.000 0.000 0.000
Be 0.000 0.500 0.000
Be 0.500 0.000 0.000
Al 0.000 0.000 0.500
Ru 0.500 0.500 0.500

Summary:
- Total magnetization: 2.19 μB per formula unit
- Space group: P4/mmm
- E_form: 2.534 eV per atom